{
  "formula": "MnCrI2F",
  "functional": "PBE with a Hubbard U",
  "state": "relaxed",
  "e_tot_ev_per_cell": -19.3,
  "lattice": [[5.3320, 0.0000, 0.0000], [0.0000, 5.8684, 0.0000], [0.0000, 0.0000, 5.3320]],
  "species": ["F", "Mn", "I", "I", "Cr"],
  "fractional_positions": [[0.5000, 0.5000, 0.5000], [0.0000, 0.5000, 0.0000], [0.0000, 0.0000, 0.5000], [0.5000, 0.0000, 0.0000], [0.0000, 0.0000, 0.0000]]
}